Density functional theory data (PBE-GGA) for a relaxed ZrHg2Pd crystal.

Cell: 6.806 6.806 6.806 Å, 90.00 90.00 90.00°
Fractional coordinates of all 16 atoms:
Zr (0.000, 0.000, 0.000)
Zr (0.000, 0.500, 0.500)
Zr (0.500, 0.000, 0.500)
Zr (0.500, 0.500, 0.000)
Hg (0.000, 0.000, 0.500)
Hg (0.000, 0.500, 0.000)
Hg (0.250, 0.250, 0.250)
Hg (0.250, 0.750, 0.750)
Hg (0.500, 0.000, 0.000)
Hg (0.500, 0.500, 0.500)
Hg (0.750, 0.250, 0.750)
Hg (0.750, 0.750, 0.250)
Pd (0.250, 0.250, 0.750)
Pd (0.250, 0.750, 0.250)
Pd (0.750, 0.250, 0.250)
Pd (0.750, 0.750, 0.750)

Calculated values
total DFT energy (no corrections): -3.8104 eV/atom
calculated formation energy: -0.231 eV/atom
space group: No. 216
V: 19.706 A^3/atom